## ThI2F2 (PBE)

Data for crystalline ThI2F2 at its relaxed geometry.

a b c (Å): 7.5558 7.5558 6.8142
angles (deg): 99.99 99.99 48.18
Sites, in units of the cell vectors:
Th: 0.1808 0.8192 0.7500
Th: 0.8192 0.1808 0.2500
I: 0.2802 0.4545 0.3648
I: 0.4545 0.2802 0.8648
I: 0.5455 0.7198 0.1352
I: 0.7198 0.5455 0.6352
F: 0.0117 0.1510 0.9849
F: 0.1510 0.0117 0.4849
F: 0.8490 0.9883 0.5151
F: 0.9883 0.8490 0.0151

Properties
* uncorrected formation energy: -2.52 eV per atom
* density of states at the Fermi level: 0.00 states/eV/cell